A relaxed Na2H6I crystal. Source: Alexandria via LeMat-Bulk, functional PBE.

Values from the calculation:
**V**: 105.8 Å³/cell
**Uncorrected energy**: -20.3 eV/f.u.

abc: 5.309 5.309 5.309
angles: 60.00 60.00 60.00
Positions (direct):
Na 0.250 0.250 0.250
Na 0.750 0.750 0.750
H 0.129 0.129 0.871
H 0.129 0.871 0.129
H 0.129 0.871 0.871
H 0.871 0.129 0.129
H 0.871 0.129 0.871
H 0.871 0.871 0.129
I 0.500 0.500 0.500